## La2FeTc2 (PBE)

Data for a geometry-optimized La2FeTc2 structure.

Unit cell a=6.4860 b=6.4860 c=4.8889 alpha=90.00 beta=90.00 gamma=90.00
Closest atoms and distances in Å follow each position.
Positions (direct):
La (0.1851, 0.3149, 0.0000)  2 Tc 2.91
La (0.3149, 0.8149, 0.0000)  2 Tc 2.91
La (0.6851, 0.1851, 0.0000)  2 Tc 2.91
La (0.8149, 0.6851, 0.0000)  2 Tc 2.91
Fe (0.0000, 0.0000, 0.5000)  4 Tc 2.49
Fe (0.5000, 0.5000, 0.5000)  4 Tc 2.49
Tc (0.1437, 0.6437, 0.5000)  2 Fe 2.49, 1 Tc 2.64
Tc (0.3563, 0.1437, 0.5000)  2 Fe 2.49, 1 Tc 2.64
Tc (0.6437, 0.8563, 0.5000)  2 Fe 2.49, 1 Tc 2.64
Tc (0.8563, 0.3563, 0.5000)  2 Fe 2.49, 1 Tc 2.64

Calculated values
**Formation enthalpy at 0 K**: 1.6 eV per formula unit
**Crystal system**: tetragonal
**VASP energy**: -7.491 eV/atom
**D(E_F)**: 13.90 states/eV per cell